Record 1
First-principles (PBE) data for a relaxed structure of GaCoPtW, as listed in OQMD.

Calculated values
Total DFT energy (no corrections) in Ha/atom: -0.2659
Total magnetization in μB/f.u.: 0.20

Cell lengths 6.1141, 6.1141, 6.1141 Å; angles 90.00, 90.00, 90.00 degrees
With the nearest neighbours (Å) after each atom.
Fractional positions:
Ga1 0.0000 0.0000 0.0000  4 W 2.65, 4 Co 2.65
Ga2 0.0000 0.5000 0.5000  4 W 2.65, 4 Co 2.65
Ga3 0.5000 0.0000 0.5000  4 W 2.65, 4 Co 2.65
Ga4 0.5000 0.5000 0.0000  4 W 2.65, 4 Co 2.65
Co1 0.2500 0.2500 0.2500  4 Pt 2.65, 4 Ga 2.65
Co2 0.2500 0.7500 0.7500  4 Pt 2.65, 4 Ga 2.65
Co3 0.7500 0.2500 0.7500  4 Pt 2.65, 4 Ga 2.65
Co4 0.7500 0.7500 0.2500  4 Pt 2.65, 4 Ga 2.65
Pt1 0.0000 0.0000 0.5000  4 W 2.65, 4 Co 2.65
Pt2 0.0000 0.5000 0.0000  4 W 2.65, 4 Co 2.65
Pt3 0.5000 0.0000 0.0000  4 W 2.65, 4 Co 2.65
Pt4 0.5000 0.5000 0.5000  4 W 2.65, 4 Co 2.65
W1 0.2500 0.2500 0.7500  4 Pt 2.65, 4 Ga 2.65
W2 0.2500 0.7500 0.2500  4 Pt 2.65, 4 Ga 2.65
W3 0.7500 0.2500 0.2500  4 Pt 2.65, 4 Ga 2.65
W4 0.7500 0.7500 0.7500  4 Ga 2.65, 4 Pt 2.65

Record 2
First-principles (PBE) data for a relaxed structure of GaCoPtW, as listed in OQMD.

Calculated values
Total DFT energy (no corrections) in Ha/atom: -0.2649
Total magnetization in μB/f.u.: 0.76

Cell lengths 6.1412, 6.1412, 6.1412 Å; angles 90.00, 90.00, 90.00 degrees
With the nearest neighbours (Å) after each atom.
Fractional positions:
Ga1 0.0000 0.0000 0.0000  4 Co 2.66, 4 Pt 2.66
Ga2 0.0000 0.5000 0.5000  4 Pt 2.66, 4 Co 2.66
Ga3 0.5000 0.0000 0.5000  4 Pt 2.66, 4 Co 2.66
Ga4 0.5000 0.5000 0.0000  4 Pt 2.66, 4 Co 2.66
Co1 0.2500 0.2500 0.2500  4 W 2.66, 4 Ga 2.66
Co2 0.2500 0.7500 0.7500  4 W 2.66, 4 Ga 2.66
Co3 0.7500 0.2500 0.7500  4 W 2.66, 4 Ga 2.66
Co4 0.7500 0.7500 0.2500  4 W 2.66, 4 Ga 2.66
Pt1 0.2500 0.2500 0.7500  4 W 2.66, 4 Ga 2.66
Pt2 0.2500 0.7500 0.2500  4 W 2.66, 4 Ga 2.66
Pt3 0.7500 0.2500 0.2500  4 W 2.66, 4 Ga 2.66
Pt4 0.7500 0.7500 0.7500  4 Ga 2.66, 4 W 2.66
W1 0.0000 0.0000 0.5000  4 Co 2.66, 4 Pt 2.66
W2 0.0000 0.5000 0.0000  4 Co 2.66, 4 Pt 2.66
W3 0.5000 0.0000 0.0000  4 Co 2.66, 4 Pt 2.66
W4 0.5000 0.5000 0.5000  4 Co 2.66, 4 Pt 2.66

Record 3
First-principles (PBE) data for a relaxed structure of YGaCoPt, as listed in OQMD.

Calculated values
Total DFT energy (no corrections) in Ha/atom: -0.2199
Total magnetization in μB/f.u.: 1.56

Cell lengths 6.5556, 6.5556, 6.5556 Å; angles 90.00, 90.00, 90.00 degrees
With the nearest neighbours (Å) after each atom.
Fractional positions:
Y1 0.0000 0.0000 0.0000  4 Pt 2.84, 4 Ga 2.84
Y2 0.0000 0.5000 0.5000  4 Pt 2.84, 4 Ga 2.84
Y3 0.5000 0.0000 0.5000  4 Pt 2.84, 4 Ga 2.84
Y4 0.5000 0.5000 0.0000  4 Pt 2.84, 4 Ga 2.84
Ga1 0.2500 0.2500 0.2500  4 Co 2.84, 4 Y 2.84
Ga2 0.2500 0.7500 0.7500  4 Co 2.84, 4 Y 2.84
Ga3 0.7500 0.2500 0.7500  4 Co 2.84, 4 Y 2.84
Ga4 0.7500 0.7500 0.2500  4 Co 2.84, 4 Y 2.84
Co1 0.0000 0.0000 0.5000  4 Pt 2.84, 4 Ga 2.84
Co2 0.0000 0.5000 0.0000  4 Pt 2.84, 4 Ga 2.84
Co3 0.5000 0.0000 0.0000  4 Pt 2.84, 4 Ga 2.84
Co4 0.5000 0.5000 0.5000  4 Pt 2.84, 4 Ga 2.84
Pt1 0.2500 0.2500 0.7500  4 Co 2.84, 4 Y 2.84
Pt2 0.2500 0.7500 0.2500  4 Co 2.84, 4 Y 2.84
Pt3 0.7500 0.2500 0.2500  4 Co 2.84, 4 Y 2.84
Pt4 0.7500 0.7500 0.7500  4 Co 2.84, 4 Y 2.84